## Ce4Er3Pb4 (PBE-GGA)

Data for Ce4Er3Pb4 after structural relaxation.

The structure in CIF format:
```
data_Ce4Er3Pb4
_cell_length_a 3.8839
_cell_length_b 10.7375
_cell_length_c 16.0297
_cell_angle_alpha 90.00
_cell_angle_beta 90.00
_cell_angle_gamma 90.00
_space_group_name_H-M_alt 'I m m m'
_space_group_IT_number 71
_space_group_name_Hall '-I 2 2'
loop_
_atom_site_label
_atom_site_fract_x
_atom_site_fract_y
_atom_site_fract_z
_atom_site_occupancy
Ce1 0.0000 0.2360 0.1927 1
Er1 0.0000 0.0000 0.3813 1
Er2 0.0000 0.5000 0.5000 1
Pb1 0.0000 0.2994 0.0000 1
Pb2 0.0000 0.5000 0.2886 1
```

Output
Theoretical density (g/cm³): 9.4
Formation energy (meV per atom): -214
Total DFT energy (no corrections) (eV/atom): -4.965